## NaErTh (PBE-GGA)

Data for a relaxed NaErTh crystal.

Calculated values
- symmetry = F-43m, No. 216
- electronic total energy (eV per cell) = -9.85
- size of the total moment (μB/f.u.) = 0.019

```
NaErTh
1.0
0.0000 3.7656 3.7656
3.7656 0.0000 3.7656
3.7656 3.7656 0.0000
Na Er Th
1 1 1
Direct
0.0000 0.0000 0.0000 Na
0.2500 0.2500 0.2500 Er
0.5000 0.5000 0.5000 Th
```

## Cs3Sn4Au (PBE-GGA)

Data for a relaxed Cs3Sn4Au crystal.

Calculated values
- symmetry = Pmmn, No. 59
- electronic total energy (eV per cell) = -49.55

```
Cs3Sn4Au
1.0
7.5498 0.0000 0.0000
0.0000 13.8046 0.0000
0.0000 0.0000 6.7012
Cs Sn Au
6 8 2
Direct
0.2500 0.0102 0.1588 Cs
0.2500 0.2500 0.5583 Cs
0.2500 0.4898 0.1588 Cs
0.7500 0.5102 0.8412 Cs
0.7500 0.7500 0.4417 Cs
0.7500 0.9898 0.8412 Cs
0.0422 0.7500 0.9500 Sn
0.2500 0.6365 0.6572 Sn
0.2500 0.8635 0.6572 Sn
0.4578 0.7500 0.9500 Sn
0.5422 0.2500 0.0500 Sn
0.7500 0.1365 0.3428 Sn
0.7500 0.3635 0.3428 Sn
0.9578 0.2500 0.0500 Sn
0.2500 0.7500 0.3041 Au
0.7500 0.2500 0.6959 Au
```

## Sc2Ta4Tl3N3 (PBE-GGA)

Data for a relaxed Sc2Ta4Tl3N3 crystal.

Calculated values
- symmetry = C2/c, No. 15
- electronic total energy (eV per cell) = -198.98
- size of the total moment (μB/f.u.) = 0.002

```
Sc2Ta4Tl3N3
1.0
4.9207 -2.8685 0.0000
4.9207 2.8685 0.0000
-3.1984 0.0000 13.9323
Sc Ta Tl N
4 8 6 6
Direct
0.0289 0.8646 0.5875 Sc
0.1354 0.9711 0.9125 Sc
0.8646 0.0289 0.0875 Sc
0.9711 0.1354 0.4125 Sc
0.1940 0.3599 0.0729 Ta
0.3131 0.4701 0.4270 Ta
0.3599 0.1940 0.5729 Ta
0.4701 0.3131 0.9270 Ta
0.5299 0.6869 0.0730 Ta
0.6401 0.8060 0.4271 Ta
0.6869 0.5299 0.5730 Ta
0.8060 0.6401 0.9271 Ta
0.0816 0.2709 0.7497 Tl
0.2709 0.0816 0.2497 Tl
0.4351 0.5649 0.7500 Tl
0.5649 0.4351 0.2500 Tl
0.7291 0.9184 0.7503 Tl
0.9184 0.7291 0.2503 Tl
0.0000 0.5000 0.5000 N
0.1581 0.6831 0.0000 N
0.3169 0.8419 0.5000 N
0.5000 0.0000 0.0000 N
0.6831 0.1581 0.5000 N
0.8419 0.3169 0.0000 N
```

## HfSc2Si2 (PBE-GGA)

Data for a relaxed HfSc2Si2 crystal.

Calculated values
- symmetry = I4/mmm, No. 139
- electronic total energy (eV per cell) = -35.63
- offset from the most stable computed form (eV per atom) = 0.000
- size of the total moment (μB/f.u.) = 0.364

```
HfSc2Si2
1.0
-1.9759 1.9759 5.9851
1.9759 -1.9759 5.9851
1.9759 1.9759 -5.9851
Hf Sc Si
1 2 2
Direct
0.0000 0.0000 0.0000 Hf
0.2500 0.7500 0.5000 Sc
0.7500 0.2500 0.5000 Sc
0.4050 0.4050 0.0000 Si
0.5950 0.5950 0.0000 Si
```

## Ho4BBrCl4 (PBE-GGA)

Data for a relaxed Ho4BBrCl4 crystal.

Calculated values
- symmetry = C2/m, No. 12
- electronic total energy (eV per cell) = -50.14
- size of the total moment (μB/f.u.) = 0.005

```
Ho4BBrCl4
1.0
8.5524 -1.9130 0.0000
8.5524 1.9130 0.0000
-1.8836 0.0000 7.8697
Ho B Br Cl
4 1 1 4
Direct
0.0008 0.0008 0.2922 Ho
0.3527 0.3527 0.4204 Ho
0.6473 0.6473 0.5796 Ho
0.9992 0.9992 0.7078 Ho
0.5000 0.5000 0.5000 B
0.5000 0.5000 0.0000 Br
0.1657 0.1657 0.8227 Cl
0.1723 0.1723 0.3495 Cl
0.8277 0.8277 0.6505 Cl
0.8343 0.8343 0.1773 Cl
```

## Al4PdPt3 (PBE-GGA)

Data for a relaxed Al4PdPt3 crystal.

Calculated values
- symmetry = R3, No. 146
- electronic total energy (eV per cell) = -46.53
- size of the total moment (μB/f.u.) = 0.004

```
Al4PdPt3
1.0
3.4646 2.0003 2.8504
-3.4646 2.0003 2.8504
0.0000 -4.0006 2.8504
Al Pd Pt
4 1 3
Direct
0.0000 0.0000 0.0000 Al
0.3110 0.5009 0.8129 Al
0.5009 0.8129 0.3110 Al
0.8129 0.3110 0.5009 Al
0.3080 0.3080 0.3080 Pd
0.0057 0.8066 0.5014 Pt
0.5014 0.0057 0.8066 Pt
0.8066 0.5014 0.0057 Pt
```